Entry 1:
## ReAgP2 (PBE)

Data for a relaxed structure of ReAgP2.

The structure in POSCAR format:
```
ReAgP2
1.0
0.0000 3.0909 3.0909
3.0909 0.0000 3.0909
3.0909 3.0909 0.0000
Re Ag P
1 1 2
direct
0.0000 0.0000 0.0000
0.5000 0.5000 0.5000
0.2500 0.2500 0.2500
0.7500 0.7500 0.7500
```

Magnetic moment   0.76 μB/f.u.
Distance to the lowest polymorph of the same formula   0.503 eV/atom
Density of states at the Fermi level   0.725 states/eV/atom
Symmetry   Fm-3m
V   14.8 Å³ per atom

Entry 2:
## Pm5Nd4Dy4 (PBE)

Data for a relaxed structure of Pm5Nd4Dy4.

The structure in POSCAR format:
```
Pm5Nd4Dy4
1.0
-6.5514 6.5514 2.5558
6.5514 -6.5514 2.5558
6.5514 6.5514 -2.5558
Pm Nd Dy
5 4 4
direct
0.0000 0.0000 0.0000
0.3086 0.4601 0.7687
0.4601 0.6914 0.1515
0.5399 0.3086 0.8485
0.6914 0.5399 0.2313
0.0773 0.6171 0.6944
0.3829 0.0773 0.4602
0.6171 0.9227 0.5398
0.9227 0.3829 0.3056
0.1541 0.2311 0.3852
0.2311 0.8459 0.0770
0.7689 0.1541 0.9230
0.8459 0.7689 0.6148
```

Magnetic moment   0.00 μB/f.u.
Density of states at the Fermi level   1.392 states/eV/atom
Symmetry   I4/m
V   33.8 Å³ per atom

Entry 3:
## Sc2ZnGeTe (PBE)

Data for a relaxed structure of Sc2ZnGeTe.

The structure in POSCAR format:
```
Sc2ZnGeTe
1.0
5.1139 0.0000 0.0000
0.0000 5.1139 0.0000
0.0000 0.0000 5.4093
Sc Zn Ge Te
2 1 1 1
direct
0.0000 0.5000 0.0000
0.5000 0.0000 0.0000
0.0000 0.0000 0.5000
0.5000 0.5000 0.0000
0.5000 0.5000 0.5000
```

Magnetic moment   0.00 μB/f.u.
Density of states at the Fermi level   0.665 states/eV/atom
Energy relative to the elements, uncorrected   0.153 eV per atom
Symmetry   P4/mmm
V   28.3 Å³ per atom

Entry 4:
## CuTc2Ag (PBE)

Data for a relaxed structure of CuTc2Ag.

The structure in POSCAR format:
```
CuTc2Ag
1.0
3.6474 0.0000 0.0000
0.0000 3.6474 0.0000
0.0000 0.0000 4.4211
Cu Tc Ag
1 2 1
direct
0.0000 0.0000 0.0000
0.0000 0.5000 0.5000
0.5000 0.0000 0.5000
0.5000 0.5000 0.0000
```

Magnetic moment   0.00 μB/f.u.
Distance to the lowest polymorph of the same formula   0.165 eV/atom
Density of states at the Fermi level   0.593 states/eV/atom
Symmetry   P4/mmm
V   14.7 Å³ per atom

Entry 5:
## SrB (PBE)

Data for a relaxed structure of SrB.

The structure in POSCAR format:
```
SrB
1.0
-4.0388 4.0388 4.0388
4.0388 -4.0388 4.0388
4.0388 4.0388 -4.0388
Sr B
4 4
direct
0.0000 0.0000 0.4223
0.0000 0.4223 0.0000
0.4223 0.0000 0.0000
0.5777 0.5777 0.5777
0.0000 0.0000 0.8465
0.0000 0.8465 0.0000
0.1535 0.1535 0.1535
0.8465 0.0000 0.0000
```

Magnetic moment   0.00 μB/f.u.
Distance to the lowest polymorph of the same formula   0.432 eV/atom
Density of states at the Fermi level   1.101 states/eV/atom
Symmetry   I-43m
V   32.9 Å³ per atom

Entry 6:
## MgNiSb2Te (PBE)

Data for a relaxed structure of MgNiSb2Te.

The structure in POSCAR format:
```
MgNiSb2Te
1.0
4.9176 0.0000 0.0000
0.0000 4.9176 0.0000
0.0000 0.0000 5.4447
Mg Ni Sb Te
1 1 2 1
direct
0.0000 0.0000 0.0000
0.5000 0.5000 0.5000
0.0000 0.5000 0.5000
0.5000 0.0000 0.5000
0.5000 0.5000 0.0000
```

Magnetic moment   0.00 μB/f.u.
Distance to the lowest polymorph of the same formula   0.000 eV/atom
Density of states at the Fermi level   0.819 states/eV/atom
Energy relative to the elements, uncorrected   0.196 eV per atom
Symmetry   P4/mmm
V   26.3 Å³ per atom

Entry 7:
## TlSiNi2 (PBE)

Data for a relaxed structure of TlSiNi2.

The structure in POSCAR format:
```
TlSiNi2
1.0
-1.8669 2.4778 3.2920
1.8669 -2.4778 3.2920
1.8669 2.4778 -3.2920
Tl Si Ni
1 1 2
direct
0.0000 0.0000 0.0000
0.5000 0.5000 0.0000
0.2992 0.7992 0.5000
0.7008 0.2008 0.5000
```

Magnetic moment   0.00 μB/f.u.
Distance to the lowest polymorph of the same formula   0.207 eV/atom
Density of states at the Fermi level   0.490 states/eV/atom
Energy relative to the elements, uncorrected   0.142 eV per atom
Symmetry   Immm
V   15.2 Å³ per atom

Entry 8:
## Na2AlGeH (PBE)

Data for a relaxed structure of Na2AlGeH.

The structure in POSCAR format:
```
Na2AlGeH
1.0
5.8664 0.0000 0.0000
0.0000 5.8664 0.0000
0.0000 0.0000 3.3501
Na Al Ge H
2 1 1 1
direct
0.0000 0.5000 0.0000
0.5000 0.0000 0.0000
0.0000 0.0000 0.0000
0.5000 0.5000 0.5000
0.0000 0.0000 0.5000
```

Magnetic moment   0.00 μB/f.u.
Density of states at the Fermi level   0.648 states/eV/atom
Symmetry   P4/mmm
V   23.1 Å³ per atom

Entry 9:
## La7Tl3Ga (PBE)

Data for a relaxed structure of La7Tl3Ga.

The structure in POSCAR format:
```
La7Tl3Ga
1.0
-2.9899 4.9656 6.0381
2.9899 -4.9656 6.0381
2.9899 4.9656 -6.0381
La Tl Ga
7 3 1
direct
0.0000 0.0000 0.0000
0.0903 0.7557 0.3346
0.3164 0.5000 0.8164
0.4211 0.7557 0.6654
0.5789 0.2443 0.3346
0.6836 0.5000 0.1836
0.9097 0.2443 0.6654
0.2656 0.2656 0.0000
0.5000 0.0000 0.5000
0.7344 0.7344 0.0000
0.0000 0.5000 0.5000
```

Magnetic moment   0.00 μB/f.u.
Density of states at the Fermi level   0.785 states/eV/atom
Symmetry   Immm
V   32.6 Å³ per atom

Entry 10:
## ZrPaMoC3 (PBE)

Data for a relaxed structure of ZrPaMoC3.

The structure in POSCAR format:
```
ZrPaMoC3
1.0
7.0877 0.0000 0.0000
0.0000 3.3202 0.0000
-0.7924 0.0000 7.9633
Zr Pa Mo C
2 2 2 6
direct
0.1331 0.2500 0.1370
0.8669 0.7500 0.8630
0.3474 0.7500 0.8240
0.6526 0.2500 0.1760
0.3748 0.7500 0.4095
0.6252 0.2500 0.5905
0.1007 0.2500 0.8596
0.3291 0.2500 0.5538
0.3739 0.7500 0.1400
0.6261 0.2500 0.8600
0.6709 0.7500 0.4462
0.8993 0.7500 0.1404
```

Magnetic moment   0.00 μB/f.u.
Density of states at the Fermi level   0.593 states/eV/atom
Symmetry   P2_1/m
V   15.6 Å³ per atom

Entry 11:
## Y8Zn2In (PBE)

Data for a relaxed structure of Y8Zn2In.

The structure in POSCAR format:
```
Y8Zn2In
1.0
8.1083 -2.5962 0.0000
8.1083 2.5962 0.0000
-3.9749 0.0000 7.3064
Y Zn In
8 2 1
direct
0.0646 0.0646 0.2242
0.1490 0.1490 0.7096
0.3145 0.3145 0.5343
0.3942 0.3942 0.0360
0.6058 0.6058 0.9640
0.6855 0.6855 0.4657
0.8510 0.8510 0.2904
0.9354 0.9354 0.7758
0.2180 0.2180 0.1188
0.7820 0.7820 0.8812
0.5000 0.5000 0.5000
```

Magnetic moment   0.00 μB/f.u.
Density of states at the Fermi level   0.865 states/eV/atom
Symmetry   C2/m
V   28.0 Å³ per atom

Entry 12:
## BeInCu (PBE)

Data for a relaxed structure of BeInCu.

The structure in POSCAR format:
```
BeInCu
1.0
4.0492 0.0000 0.0000
-2.0246 3.5068 0.0000
0.0000 0.0000 3.1831
Be In Cu
1 1 1
direct
0.0000 0.0000 0.0000
0.3333 0.6667 0.5000
0.6667 0.3333 0.0000
```

Magnetic moment   0.00 μB/f.u.
Distance to the lowest polymorph of the same formula   0.038 eV/atom
Density of states at the Fermi level   0.358 states/eV/atom
Symmetry   P-6m2
V   15.1 Å³ per atom

Entry 13:
## Dy6SnC3 (PBE)

Data for a relaxed structure of Dy6SnC3.

The structure in POSCAR format:
```
Dy6SnC3
1.0
3.2666 1.8860 5.9569
-3.2666 1.8860 5.9569
0.0000 -3.7720 5.9569
Dy Sn C
6 1 3
direct
0.0014 0.3396 0.6591
0.0445 0.9537 0.4858
0.3396 0.6591 0.0014
0.4858 0.0445 0.9537
0.6591 0.0014 0.3396
0.9537 0.4858 0.0445
0.5087 0.5087 0.5087
0.0731 0.0731 0.0731
0.2663 0.2663 0.2663
0.7377 0.7377 0.7377
```

Magnetic moment   0.00 μB/f.u.
Density of states at the Fermi level   0.268 states/eV/atom
Symmetry   R3
V   22.0 Å³ per atom

Entry 14:
## Tb2PmFeN4 (PBE)

Data for a relaxed structure of Tb2PmFeN4.

The structure in POSCAR format:
```
Tb2PmFeN4
1.0
1.7064 -5.7336 0.0000
1.7064 5.7336 0.0000
0.0000 0.0000 11.6223
Tb Pm Fe N
4 2 2 8
direct
0.1322 0.8678 0.5447
0.1322 0.8678 0.9553
0.8678 0.1322 0.0447
0.8678 0.1322 0.4553
0.3803 0.6197 0.7500
0.6197 0.3803 0.2500
0.3460 0.6540 0.2500
0.6540 0.3460 0.7500
0.0879 0.9121 0.7500
0.2321 0.7679 0.1315
0.2321 0.7679 0.3685
0.5000 0.5000 0.0000
0.5000 0.5000 0.5000
0.7679 0.2321 0.6315
0.7679 0.2321 0.8685
0.9121 0.0879 0.2500
```

Magnetic moment   0.00 μB/f.u.
Density of states at the Fermi level   0.387 states/eV/atom
Energy relative to the elements, uncorrected   -1.096 eV per atom
Symmetry   Cmcm
V   14.2 Å³ per atom

Entry 15:
## MgFeCoSi (PBE)

Data for a relaxed structure of MgFeCoSi.

The structure in POSCAR format:
```
MgFeCoSi
1.0
0.0000 2.8553 2.8553
2.8553 0.0000 2.8553
2.8553 2.8553 0.0000
Mg Fe Co Si
1 1 1 1
direct
0.0000 0.0000 0.0000
0.7500 0.7500 0.7500
0.2500 0.2500 0.2500
0.5000 0.5000 0.5000
```

Magnetic moment   0.29 μB/f.u.
Density of states at the Fermi level   1.022 states/eV/atom
Energy relative to the elements, uncorrected   -0.186 eV per atom
Symmetry   F-43m
V   11.6 Å³ per atom

Entry 16:
## TmTc3Ge2 (PBE)

Data for a relaxed structure of TmTc3Ge2.

The structure in POSCAR format:
```
TmTc3Ge2
1.0
6.3153 -2.0764 0.0000
6.3153 2.0764 0.0000
-3.6079 0.0000 7.9181
Tm Tc Ge
2 6 4
direct
0.1479 0.1479 0.1019
0.8521 0.8521 0.8981
0.0460 0.0460 0.3837
0.2755 0.2755 0.5911
0.3916 0.3916 0.4019
0.6084 0.6084 0.5981
0.7245 0.7245 0.4089
0.9540 0.9540 0.6163
0.1802 0.1802 0.7955
0.4918 0.4918 0.8089
0.5082 0.5082 0.1911
0.8198 0.8198 0.2045
```

Magnetic moment   0.00 μB/f.u.
Density of states at the Fermi level   0.678 states/eV/atom
Symmetry   C2/m
V   17.3 Å³ per atom

Entry 17:
## HgAu2I5 (PBE)

Data for a relaxed structure of HgAu2I5.

The structure in POSCAR format:
```
HgAu2I5
1.0
8.3688 -3.9404 0.0000
8.3688 3.9404 0.0000
-3.7019 0.0000 6.9551
Hg Au I
1 2 5
direct
0.0000 0.0000 0.0000
0.3849 0.3849 0.8900
0.8849 0.8849 0.3879
0.1481 0.6552 0.6593
0.1549 0.6600 0.1590
0.1812 0.1812 0.1760
0.6552 0.1481 0.6593
0.6600 0.1549 0.1590
```

Magnetic moment   0.00 μB/f.u.
Density of states at the Fermi level   0.745 states/eV/atom
Energy relative to the elements, uncorrected   -0.022 eV per atom
Symmetry   Cm
V   57.3 Å³ per atom

Entry 18:
## Y2C (PBE)

Data for a relaxed structure of Y2C.

The structure in POSCAR format:
```
Y2C
1.0
9.5117 0.0000 0.0000
-4.7559 8.2374 0.0000
0.0000 0.0000 5.2790
Y C
8 4
direct
0.0000 0.0000 0.0000
0.0000 0.0000 0.5000
0.1920 0.3839 0.2500
0.1920 0.8080 0.2500
0.3839 0.1920 0.7500
0.6161 0.8080 0.2500
0.8080 0.1920 0.7500
0.8080 0.6161 0.7500
0.3333 0.6667 0.1245
0.3333 0.6667 0.3755
0.6667 0.3333 0.6245
0.6667 0.3333 0.8755
```

Magnetic moment   0.00 μB/f.u.
Density of states at the Fermi level   1.040 states/eV/atom
Symmetry   P6_3/mmc
V   34.5 Å³ per atom

Entry 19:
## Sc5Tl (PBE)

Data for a relaxed structure of Sc5Tl.

The structure in POSCAR format:
```
Sc5Tl
1.0
5.0695 0.0000 0.0000
0.0000 1.6824 8.4578
0.0000 -1.6824 8.4578
Sc Tl
5 1
direct
0.0000 0.0000 0.0000
0.0000 0.3237 0.3237
0.0000 0.6617 0.6617
0.5000 0.2134 0.2134
0.5000 0.8762 0.8762
0.5000 0.5497 0.5497
```

Magnetic moment   0.00 μB/f.u.
Distance to the lowest polymorph of the same formula   0.023 eV/atom
Density of states at the Fermi level   1.211 states/eV/atom
Symmetry   Amm2
V   24.0 Å³ per atom

Entry 20:
## La6TmPb (PBE)

Data for a relaxed structure of La6TmPb.

The structure in POSCAR format:
```
La6TmPb
1.0
5.1144 0.0000 0.0000
0.0000 5.1144 0.0000
0.0000 0.0000 10.4109
La Tm Pb
6 1 1
direct
0.0000 0.0000 0.0000
0.0000 0.0000 0.5000
0.0000 0.5000 0.2463
0.0000 0.5000 0.7537
0.5000 0.0000 0.2463
0.5000 0.0000 0.7537
0.5000 0.5000 0.5000
0.5000 0.5000 0.0000
```

Magnetic moment   0.00 μB/f.u.
Density of states at the Fermi level   1.225 states/eV/atom
Symmetry   P4/mmm
V   34.0 Å³ per atom

Entry 21:
## CaPr2Ag2Sn2 (PBE)

Data for a relaxed structure of CaPr2Ag2Sn2.

The structure in POSCAR format:
```
CaPr2Ag2Sn2
1.0
2.4277 1.4016 9.5814
-2.4277 1.4016 9.5814
0.0000 -2.8032 9.5814
Ca Pr Ag Sn
1 2 2 2
direct
0.0000 0.0000 0.0000
0.1278 0.1278 0.1278
0.8722 0.8722 0.8722
0.3990 0.3990 0.3990
0.6010 0.6010 0.6010
0.2595 0.2595 0.2595
0.7405 0.7405 0.7405
```

Magnetic moment   0.00 μB/f.u.
Density of states at the Fermi level   0.375 states/eV/atom
Symmetry   R-3m
V   27.9 Å³ per atom

Entry 22:
## AuSe2Br (PBE)

Data for a relaxed structure of AuSe2Br.

The structure in POSCAR format:
```
AuSe2Br
1.0
0.0000 3.4769 3.4769
3.4769 0.0000 3.4769
3.4769 3.4769 0.0000
Au Se Br
1 2 1
direct
0.0000 0.0000 0.0000
0.2500 0.2500 0.2500
0.7500 0.7500 0.7500
0.5000 0.5000 0.5000
```

Magnetic moment   0.00 μB/f.u.
Density of states at the Fermi level   0.783 states/eV/atom
Energy relative to the elements, uncorrected   0.645 eV per atom
Symmetry   Fm-3m
V   21.0 Å³ per atom

Entry 23:
## Pm2Al3Pt4Au (PBE)

Data for a relaxed structure of Pm2Al3Pt4Au.

The structure in POSCAR format:
```
Pm2Al3Pt4Au
1.0
4.0886 0.0000 0.0000
0.0000 4.0886 0.0000
0.0000 0.0000 11.6010
Pm Al Pt Au
2 3 4 1
direct
0.0000 0.5000 0.2447
0.5000 0.0000 0.7553
0.0000 0.0000 0.0000
0.0000 0.5000 0.6246
0.5000 0.0000 0.3754
0.0000 0.0000 0.5000
0.0000 0.5000 0.8369
0.5000 0.0000 0.1631
0.5000 0.5000 0.5000
0.5000 0.5000 0.0000
```

Magnetic moment   0.00 μB/f.u.
Density of states at the Fermi level   0.388 states/eV/atom
Symmetry   P-4m2
V   19.4 Å³ per atom

Entry 24:
## Li2AcBiPb2 (PBE)

Data for a relaxed structure of Li2AcBiPb2.

The structure in POSCAR format:
```
Li2AcBiPb2
1.0
5.1627 0.0000 0.0000
0.0000 5.1627 0.0000
0.0000 0.0000 6.7218
Li Ac Bi Pb
2 1 1 2
direct
0.0000 0.5000 0.0000
0.5000 0.0000 0.0000
0.0000 0.0000 0.5000
0.0000 0.0000 0.0000
0.5000 0.5000 0.2744
0.5000 0.5000 0.7256
```

Magnetic moment   0.00 μB/f.u.
Density of states at the Fermi level   0.430 states/eV/atom
Symmetry   P4/mmm
V   29.9 Å³ per atom

no.,E (eV/cell)
1,-24.00
2,-61.04
3,-20.93
4,-25.95
5,-30.14
6,-17.78
7,-18.79
8,-12.00
9,-47.59
10,-114.55
11,-59.40
12,-9.69
13,-62.35
14,-129.08
15,-23.33
16,-94.00
17,-14.79
18,-77.23
19,-34.61
20,-39.07
21,-28.33
22,-9.34
23,-58.23
24,-20.92